The following is a PBE with a Hubbard U calculation of a geometry-optimized LiMo4P4O22 structure, from Alexandria via LeMat-Bulk.

Calculated values
- DOS at the Fermi energy: 1.8 states/eV/cell
- E: -219.1 eV for the cell shown

```
LiMo4P4O22
1.0
6.4680 0.0000 0.0000
0.0028 7.6152 0.0000
0.0672 2.4808 8.7316
Li Mo P O
1 4 4 22
direct
0.0000 0.0000 0.0000
0.2492 0.8915 0.7051
0.2511 0.6645 0.1498
0.7489 0.3355 0.8502
0.7508 0.1085 0.2949
0.2491 0.0078 0.3253
0.2495 0.4261 0.8826
0.7505 0.5739 0.1174
0.7509 0.9922 0.6747
0.0605 0.1352 0.3142
0.0639 0.2960 0.8841
0.2264 0.8587 0.9102
0.2290 0.9123 0.1932
0.2440 0.5278 0.3308
0.2452 0.4727 0.0403
0.2472 0.1243 0.6410
0.2482 0.5955 0.7490
0.2639 0.8647 0.4803
0.4425 0.1333 0.2911
0.4457 0.3060 0.8851
0.5543 0.6940 0.1149
0.5575 0.8667 0.7089
0.7361 0.1353 0.5197
0.7518 0.4045 0.2510
0.7528 0.8757 0.3590
0.7548 0.5273 0.9597
0.7560 0.4722 0.6692
0.7710 0.0877 0.8068
0.7736 0.1413 0.0898
0.9361 0.7040 0.1159
0.9395 0.8648 0.6858
```

=====

The following is a PBE with a Hubbard U calculation of a geometry-optimized LiMoP2O8 structure, from Alexandria via LeMat-Bulk.

Calculated values
- DOS at the Fermi energy: 0.0 states/eV/cell
- E: -1013.9 eV for the cell shown

```
LiMoP2O8
1.0
10.1384 0.0000 0.0000
0.0000 12.1498 0.0000
-6.0647 0.0000 15.8580
Li Mo P O
12 12 24 96
direct
0.0401 0.0570 0.1433
0.0401 0.4430 0.6433
0.2747 0.5613 0.7115
0.2747 0.9387 0.2115
0.3805 0.0590 0.4769
0.3805 0.4410 0.9769
0.6195 0.5590 0.0231
0.6195 0.9410 0.5231
0.7253 0.0613 0.7885
0.7253 0.4387 0.2885
0.9599 0.5570 0.3567
0.9599 0.9430 0.8567
0.1199 0.2149 0.4253
0.1199 0.2851 0.9253
0.2178 0.7016 0.4115
0.2178 0.7984 0.9115
0.4492 0.1960 0.7610
0.4492 0.3040 0.2610
0.5508 0.6960 0.7390
0.5508 0.8040 0.2390
0.7822 0.2016 0.0885
0.7822 0.2984 0.5885
0.8801 0.7149 0.0747
0.8801 0.7851 0.5747
0.0928 0.1758 0.6237
0.0928 0.3242 0.1237
0.1250 0.5428 0.8405
0.1250 0.9572 0.3405
0.2015 0.0426 0.0209
0.2015 0.4574 0.5209
0.2381 0.7043 0.1200
0.2381 0.7957 0.6200
0.4376 0.2003 0.0581
0.4376 0.2997 0.5581
0.4723 0.5514 0.1583
0.4723 0.9486 0.6583
0.5277 0.0514 0.3417
0.5277 0.4486 0.8417
0.5624 0.7003 0.4419
0.5624 0.7997 0.9419
0.7619 0.2043 0.3800
0.7619 0.2957 0.8800
0.7985 0.5426 0.4791
0.7985 0.9574 0.9791
0.8750 0.0428 0.6595
0.8750 0.4572 0.1595
0.9072 0.6758 0.8763
0.9072 0.8242 0.3763
0.0004 0.2219 0.1235
0.0004 0.2781 0.6235
0.9996 0.7219 0.3765
0.9996 0.7781 0.8765
0.0305 0.0763 0.6632
0.0305 0.4237 0.1632
0.0871 0.1435 0.5364
0.0871 0.3565 0.0364
0.0953 0.6921 0.1289
0.0953 0.8079 0.6289
0.1008 0.1392 0.9803
0.1008 0.3608 0.4803
0.1204 0.5158 0.7530
0.1204 0.9842 0.2530
0.1317 0.2301 0.8360
0.1317 0.2699 0.3360
0.1705 0.5502 0.4552
0.1705 0.9498 0.9552
0.1718 0.0542 0.4037
0.1718 0.4458 0.9037
0.1907 0.0100 0.1039
0.1907 0.4900 0.6039
0.2076 0.6438 0.3183
0.2076 0.8562 0.8183
0.2293 0.6376 0.8806
0.2293 0.8624 0.3806
0.2336 0.7331 0.0325
0.2336 0.7669 0.5325
0.2412 0.1944 0.6854
0.2412 0.3056 0.1854
0.3121 0.5852 0.1473
0.3121 0.9148 0.6473
0.3316 0.7134 0.6873
0.3316 0.7866 0.1873
0.3336 0.2144 0.4990
0.3336 0.2856 0.9990
0.3611 0.0821 0.0358
0.3611 0.4179 0.5358
0.4262 0.1324 0.8442
0.4262 0.3676 0.3442
0.4283 0.1452 0.2943
0.4283 0.3548 0.7943
0.4332 0.6893 0.4675
0.4332 0.8107 0.9675
0.4722 0.2276 0.1499
0.4722 0.2724 0.6499
0.4800 0.5293 0.0731
0.4800 0.9707 0.5731
0.4907 0.5502 0.7835
0.4907 0.9498 0.2835
0.5093 0.0502 0.7165
0.5093 0.4498 0.2165
0.5200 0.0293 0.4269
0.5200 0.4707 0.9269
0.5278 0.7276 0.3501
0.5278 0.7724 0.8501
0.5668 0.1893 0.0325
0.5668 0.3107 0.5325
0.5717 0.6452 0.2057
0.5717 0.8548 0.7057
0.5738 0.6324 0.6558
0.5738 0.8676 0.1558
0.6389 0.5821 0.4642
0.6389 0.9179 0.9642
0.6664 0.7144 0.0010
0.6664 0.7856 0.5010
0.6684 0.2134 0.8127
0.6684 0.2866 0.3127
0.6879 0.0852 0.3527
0.6879 0.4148 0.8527
0.7588 0.6944 0.8146
0.7588 0.8056 0.3146
0.7664 0.2331 0.4675
0.7664 0.2669 0.9675
0.7707 0.1376 0.6194
0.7707 0.3624 0.1194
0.7924 0.1438 0.1817
0.7924 0.3562 0.6817
0.8093 0.5100 0.3961
0.8093 0.9900 0.8961
0.8282 0.5542 0.0963
0.8282 0.9458 0.5963
0.8295 0.0502 0.0448
0.8295 0.4498 0.5448
0.8683 0.7301 0.6640
0.8683 0.7699 0.1640
0.8796 0.0158 0.7470
0.8796 0.4842 0.2470
0.8992 0.6392 0.5197
0.8992 0.8608 0.0197
0.9047 0.1921 0.3711
0.9047 0.3079 0.8711
0.9129 0.6435 0.9636
0.9129 0.8565 0.4636
0.9695 0.5763 0.8368
0.9695 0.9237 0.3368
```

=====

The following is a PBE with a Hubbard U calculation of a geometry-optimized Li4MoP2O9 structure, from Alexandria via LeMat-Bulk.

Calculated values
- E: -211.0 eV for the cell shown

```
Li4MoP2O9
1.0
7.2118 -3.5199 0.0000
7.2118 3.5199 0.0000
-0.0413 0.0000 7.1824
Li Mo P O
8 2 4 18
direct
0.0000 0.5000 0.5000
0.1012 0.1012 0.2398
0.2288 0.7712 0.0000
0.3681 0.3681 0.3075
0.5000 0.0000 0.5000
0.6319 0.6319 0.6925
0.7712 0.2288 0.0000
0.8988 0.8988 0.7602
0.0000 0.5000 0.0000
0.5000 0.0000 0.0000
0.1215 0.1215 0.6997
0.4026 0.4026 0.7551
0.5974 0.5974 0.2449
0.8785 0.8785 0.3003
0.0047 0.6361 0.2488
0.0330 0.0330 0.8191
0.1157 0.1157 0.4898
0.1942 0.5573 0.8784
0.2407 0.2407 0.1301
0.3457 0.3457 0.5746
0.3639 0.9953 0.7512
0.4427 0.8058 0.1216
0.4929 0.4929 0.2507
0.5071 0.5071 0.7493
0.5573 0.1942 0.8784
0.6361 0.0047 0.2488
0.6543 0.6543 0.4254
0.7593 0.7593 0.8699
0.8058 0.4427 0.1216
0.8843 0.8843 0.5102
0.9670 0.9670 0.1809
0.9953 0.3639 0.7512
```

=====

The following is a PBE with a Hubbard U calculation of a geometry-optimized LiMoP2O8 structure, from Alexandria via LeMat-Bulk.

Calculated values
- DOS at the Fermi energy: 0.0 states/eV/cell
- E: -336.6 eV for the cell shown

```
LiMoP2O8
1.0
4.9272 0.0000 0.0000
0.0000 12.9248 0.0000
-3.0644 0.0000 10.6911
Li Mo P O
4 4 8 32
direct
0.1761 0.1836 0.4922
0.1761 0.3164 0.9922
0.8239 0.6836 0.0078
0.8239 0.8164 0.5078
0.1203 0.0958 0.8036
0.1203 0.4042 0.3036
0.8797 0.5958 0.6964
0.8797 0.9042 0.1964
0.3037 0.0730 0.1280
0.3037 0.4270 0.6280
0.3929 0.7303 0.1820
0.3929 0.7697 0.6820
0.6071 0.2303 0.3180
0.6071 0.2697 0.8180
0.6963 0.5730 0.3720
0.6963 0.9270 0.8720
0.1167 0.0375 0.2109
0.1167 0.4625 0.7109
0.1267 0.1025 0.9971
0.1267 0.3975 0.4971
0.1528 0.1116 0.6543
0.1528 0.3884 0.1543
0.2075 0.6540 0.0972
0.2075 0.8460 0.5972
0.2460 0.6765 0.7236
0.2460 0.8235 0.2236
0.3587 0.2314 0.8688
0.3587 0.2686 0.3688
0.4468 0.1808 0.1819
0.4468 0.3192 0.6819
0.4650 0.0048 0.8709
0.4650 0.4952 0.3709
0.5350 0.5048 0.6291
0.5350 0.9952 0.1291
0.5532 0.6808 0.3181
0.5532 0.8192 0.8181
0.6413 0.7314 0.6312
0.6413 0.7686 0.1312
0.7540 0.1765 0.7764
0.7540 0.3235 0.2764
0.7925 0.1540 0.4028
0.7925 0.3460 0.9028
0.8472 0.6116 0.8457
0.8472 0.8884 0.3457
0.8733 0.6025 0.5029
0.8733 0.8975 0.0029
0.8833 0.5375 0.2891
0.8833 0.9625 0.7891
```

=====

The following is a PBE with a Hubbard U calculation of a geometry-optimized LiMoP2O8 structure, from Alexandria via LeMat-Bulk.

Calculated values
- DOS at the Fermi energy: 0.0 states/eV/cell
- E: -337.4 eV for the cell shown

```
LiMoP2O8
1.0
5.2036 0.0000 0.0000
0.0000 11.2693 0.0000
0.0000 0.0000 11.3523
Li Mo P O
4 4 8 32
direct
0.2090 0.2375 0.0897
0.2910 0.7625 0.5897
0.7090 0.2625 0.9103
0.7910 0.7375 0.4103
0.2284 0.9034 0.8497
0.2716 0.0966 0.3497
0.7284 0.5966 0.1503
0.7716 0.4034 0.6503
0.2050 0.6000 0.9581
0.2409 0.6306 0.3379
0.2591 0.3694 0.8379
0.2950 0.4000 0.4581
0.7050 0.9000 0.0419
0.7409 0.8694 0.6621
0.7591 0.1306 0.1621
0.7950 0.1000 0.5419
0.0200 0.8382 0.6997
0.0455 0.6593 0.2409
0.0662 0.0645 0.5006
0.0995 0.4248 0.5551
0.1602 0.6893 0.4518
0.2189 0.7230 0.9064
0.2316 0.4878 0.3497
0.2452 0.0451 0.7978
0.2548 0.9549 0.2978
0.2684 0.5122 0.8497
0.2811 0.2770 0.4064
0.3398 0.3107 0.9518
0.4005 0.5752 0.0551
0.4338 0.9355 0.0006
0.4545 0.3407 0.7409
0.4800 0.1618 0.1997
0.5200 0.6618 0.3003
0.5455 0.8407 0.7591
0.5662 0.4355 0.4994
0.5995 0.0752 0.4449
0.6602 0.8107 0.5482
0.7189 0.7770 0.0936
0.7316 0.0122 0.6503
0.7452 0.4549 0.2022
0.7548 0.5451 0.7022
0.7684 0.9878 0.1503
0.7811 0.2230 0.5936
0.8398 0.1893 0.0482
0.9005 0.9248 0.9449
0.9338 0.5645 0.9994
0.9545 0.1593 0.2591
0.9800 0.3382 0.8003
```

=====

The following is a PBE with a Hubbard U calculation of a geometry-optimized LiMoP2O structure, from Alexandria via LeMat-Bulk.

Calculated values
- DOS at the Fermi energy: 3.7 states/eV/cell
- E: -25.3 eV for the cell shown

```
LiMoP2O
1.0
4.8360 0.0000 0.0000
0.0000 4.8360 0.0000
0.0000 0.0000 3.8223
Li Mo P O
1 1 2 1
direct
0.0000 0.0000 0.0000
0.5000 0.5000 0.5000
0.0000 0.5000 0.5000
0.5000 0.0000 0.5000
0.5000 0.5000 0.0000
```

=====

The following is a PBE with a Hubbard U calculation of a geometry-optimized Li3MoP8O24 structure, from Alexandria via LeMat-Bulk.

Calculated values
- E: -249.7 eV for the cell shown

```
Li3MoP8O24
1.0
6.0602 -4.1870 0.0000
6.0602 4.1870 0.0000
-5.0080 0.0000 8.7904
Li Mo P O
3 1 8 24
direct
0.0000 0.0000 0.0000
0.4010 0.0261 0.2038
0.9739 0.5990 0.7962
0.9156 0.0844 0.5000
0.2294 0.7702 0.7219
0.2298 0.7706 0.2781
0.2556 0.3514 0.0574
0.2748 0.3265 0.5412
0.6486 0.7444 0.9426
0.6735 0.7252 0.4588
0.6946 0.2845 0.7746
0.7155 0.3054 0.2254
0.0522 0.8803 0.3485
0.0953 0.2748 0.5515
0.1197 0.9478 0.6515
0.1526 0.7631 0.8328
0.1597 0.4203 0.9212
0.2126 0.1736 0.0636
0.2161 0.5703 0.5722
0.2231 0.5375 0.2146
0.2369 0.8474 0.1672
0.3353 0.2211 0.4022
0.4297 0.7839 0.4278
0.4540 0.2947 0.6916
0.4625 0.7769 0.7854
0.5049 0.3064 0.0964
0.5797 0.8403 0.0788
0.6936 0.4951 0.9036
0.7053 0.5460 0.3084
0.7150 0.2142 0.3424
0.7252 0.9047 0.4485
0.7789 0.6647 0.5978
0.7858 0.2850 0.6576
0.7912 0.1088 0.8316
0.8264 0.7874 0.9364
0.8912 0.2088 0.1684
```

=====

The following is a PBE with a Hubbard U calculation of a geometry-optimized LiMoP4O13 structure, from Alexandria via LeMat-Bulk.

Calculated values
- E: -267.4 eV for the cell shown

```
LiMoP4O13
1.0
5.2182 0.0000 0.0000
1.3599 7.8699 0.0000
0.6271 1.3307 14.1678
Li Mo P O
2 2 8 26
direct
0.0000 0.0000 0.0000
0.4888 0.0984 0.5101
0.0643 0.4248 0.2378
0.9254 0.5751 0.7525
0.1347 0.9383 0.6758
0.1788 0.8172 0.2041
0.3621 0.7529 0.8538
0.4880 0.3914 0.6530
0.5011 0.5985 0.3440
0.6250 0.2500 0.1364
0.8110 0.1827 0.7935
0.8512 0.0664 0.3150
0.0031 0.8815 0.2945
0.0523 0.1896 0.3035
0.0619 0.6633 0.1769
0.1915 0.9543 0.1277
0.1974 0.4767 0.6666
0.2008 0.6114 0.8374
0.2732 0.9635 0.5848
0.3007 0.8339 0.9422
0.3301 0.3338 0.1465
0.3322 0.8887 0.7610
0.3431 0.4560 0.3228
0.4448 0.6706 0.4347
0.4517 0.7421 0.2516
0.5322 0.2584 0.7493
0.5381 0.2995 0.5677
0.6545 0.1149 0.2297
0.6550 0.5316 0.6655
0.6560 0.6673 0.8403
0.6945 0.1663 0.0490
0.7110 0.0540 0.4064
0.7846 0.3923 0.1528
0.7946 0.5194 0.3252
0.8059 0.0449 0.8697
0.9299 0.3385 0.8171
0.9429 0.8090 0.6849
0.9735 0.1191 0.7005
```